1.
Entry from Alexandria: a geometry-optimized CaOsSCl2 structure (PBE).

The structure belongs to space group P4/mmm (No. 123); the cell edges are 5.0593, 5.0593 and 5.6138 Å and the angles 90.00°, 90.00° and 90.00°. The asymmetric unit holds Ca at (0.0000, 0.0000, 0.0000), Os at (0.5000, 0.5000, 0.5000), S at (0.0000, 0.0000, 0.5000) and Cl at (0.0000, 0.5000, 0.0000).

The value obtained for the raw formation energy is 0.396 eV/atom. The energy above the most stable polymorph in this dataset comes out at 0.8402 eV per atom.

2.
Entry from Alexandria: a geometry-optimized CaScOs2Cl structure (PBE).

The structure belongs to space group P4/mmm (No. 123); the cell edges are 4.8325, 4.8325 and 5.0948 Å and the angles 90.00°, 90.00° and 90.00°. The asymmetric unit holds Ca at (0.0000, 0.0000, 0.0000), Sc at (0.5000, 0.5000, 0.5000), Os at (0.0000, 0.5000, 0.5000) and Cl at (0.5000, 0.5000, 0.0000).

The value obtained for the raw formation energy is 0.850 eV/atom.

3.
Entry from Alexandria: a geometry-optimized Ca2TiOsCl structure (PBE).

The structure belongs to space group P4/mmm (No. 123); the cell edges are 5.0224, 5.0224 and 4.5092 Å and the angles 90.00°, 90.00° and 90.00°. The asymmetric unit holds Ca at (0.0000, 0.5000, 0.0000), Ti at (0.0000, 0.0000, 0.5000), Os at (0.5000, 0.5000, 0.5000) and Cl at (0.0000, 0.0000, 0.0000).

The value obtained for the raw formation energy is 0.401 eV/atom.

4.
Entry from Alexandria: a geometry-optimized Ca2YOsCl structure (PBE).

The structure belongs to space group P4/mmm (No. 123); the cell edges are 5.6099, 5.6099 and 5.2790 Å and the angles 90.00°, 90.00° and 90.00°. The asymmetric unit holds Ca at (0.0000, 0.5000, 0.0000), Y at (0.0000, 0.0000, 0.5000), Os at (0.0000, 0.0000, 0.0000) and Cl at (0.5000, 0.5000, 0.5000).

The value obtained for the raw formation energy is -0.118 eV/atom.